*P*
{
  "formula": "FeTcTe",
  "functional": "PBE",
  "state": "optimized geometry",
  "crystal_system": "monoclinic",
  "volume_a3_per_atom": 21.0,
  "space_group": "Cm (8)",
  "lattice_angstrom": [[-2.6228, -4.9200, 7.4861], [0.0981, -3.3580, -2.1726], [6.8467, -0.2263, 0.6591]],
  "species": ["Te", "Te", "Te", "Te", "Tc", "Tc", "Tc", "Tc", "Fe", "Fe", "Fe", "Fe"],
  "frac_coords": [[0.3942, 0.0000, 0.2062], [0.3942, 0.5000, 0.7062], [0.0229, 0.0000, 0.4243], [0.0229, 0.5000, 0.9243], [0.6033, 0.0000, 0.9163], [0.6033, 0.5000, 0.4163], [0.8381, 0.0000, 0.7818], [0.8381, 0.5000, 0.2818], [0.5305, 0.0000, 0.5787], [0.5305, 0.5000, 0.0787], [0.7621, 0.0000, 0.4671], [0.7621, 0.5000, 0.9671]]
}

*Q*
{
  "formula": "FeTcTe",
  "functional": "PBE",
  "state": "optimized geometry",
  "crystal_system": "monoclinic",
  "volume_a3_per_atom": 21.0,
  "space_group": "Cm (8)",
  "lattice_angstrom": [[9.1499, 0.0000, -0.0156], [0.0000, 4.1396, 0.0000], [-2.6835, 0.0000, 6.6556]],
  "species": ["Te", "Te", "Te", "Te", "Tc", "Tc", "Tc", "Tc", "Fe", "Fe", "Fe", "Fe"],
  "frac_coords": [[0.9063, 0.0000, 0.6379], [0.9063, 0.5000, 0.1379], [0.3119, 0.0000, 0.3530], [0.3119, 0.5000, 0.8530], [0.6269, 0.0000, 0.1703], [0.6269, 0.5000, 0.6703], [0.4777, 0.0000, 0.7655], [0.4777, 0.5000, 0.2655], [0.7555, 0.0000, 0.8987], [0.7555, 0.5000, 0.3987], [0.6139, 0.0000, 0.4973], [0.6139, 0.5000, 0.9973]]
}

*R*
{
  "formula": "FeTcTe",
  "functional": "PBE",
  "state": "optimized geometry",
  "crystal_system": "cubic",
  "volume_a3_per_atom": 18.6,
  "space_group": "F-43m (216)",
  "lattice_angstrom": [[-0.9603, -4.0865, 0.8993], [-0.8584, -2.7532, -3.1802], [2.7915, -3.1201, -0.9500]],
  "species": ["Fe", "Tc", "Te"],
  "frac_coords": [[0.5000, 0.5000, 0.5000], [0.2500, 0.2500, 0.2500], [0.0000, 0.0000, 0.0000]]
}

*S*
{
  "formula": "FeTcTe",
  "functional": "PBE",
  "state": "optimized geometry",
  "crystal_system": "orthorhombic",
  "volume_a3_per_atom": 18.5,
  "space_group": "Pmm2 (25)",
  "lattice_angstrom": [[-0.0758, 3.4063, -2.2750], [1.6207, -1.4808, -2.2712], [-7.3464, -2.5529, -3.5777]],
  "species": ["Te", "Te", "Tc", "Tc", "Fe", "Fe"],
  "frac_coords": [[0.5000, 0.0000, 0.3873], [0.0000, 0.5000, 0.0245], [0.0000, 0.0000, 0.7147], [0.5000, 0.0000, 0.8911], [0.0000, 0.5000, 0.4847], [0.5000, 0.5000, 0.6488]]
}

Most stable: *Q*

*P*
{
  "formula": "TiFe2Tc",
  "functional": "PBE",
  "state": "optimized geometry",
  "crystal_system": "tetragonal",
  "volume_a3_per_atom": 14.2,
  "space_group": "I-42d (122)",
  "lattice_angstrom": [[6.7200, 0.0000, 0.0000], [0.0000, 6.7200, 0.0000], [3.3600, 3.3600, 2.5176]],
  "species": ["Ti", "Ti", "Tc", "Tc", "Fe", "Fe", "Fe", "Fe"],
  "frac_coords": [[0.5000, 0.5000, 0.0000], [0.2500, 0.7500, 0.5000], [0.0000, 0.0000, 0.0000], [0.7500, 0.2500, 0.5000], [0.6339, 0.1250, 0.2500], [0.1161, 0.6250, 0.2500], [0.3750, 0.3661, 0.7500], [0.8750, 0.8839, 0.7500]]
}

*Q*
{
  "formula": "TiFe2Tc",
  "functional": "PBE",
  "state": "optimized geometry",
  "crystal_system": "tetragonal",
  "volume_a3_per_atom": 13.3,
  "space_group": "P4/mmm (123)",
  "lattice_angstrom": [[-0.0909, 2.9994, -0.2535], [-2.6520, 0.1941, 3.2466], [3.2499, 0.3212, 2.6355]],
  "species": ["Ti", "Tc", "Fe", "Fe"],
  "frac_coords": [[0.5000, 0.0000, 0.0000], [0.5000, 0.5000, 0.5000], [0.0000, 0.0000, 0.5000], [0.0000, 0.5000, 0.0000]]
}

*R*
{
  "formula": "TiFe2Tc",
  "functional": "PBE",
  "state": "optimized geometry",
  "crystal_system": "tetragonal",
  "volume_a3_per_atom": 12.6,
  "space_group": "P4/mmm (123)",
  "lattice_angstrom": [[2.8208, 0.0000, 0.0000], [0.0000, 2.8208, 0.0000], [0.0000, 0.0000, 6.3538]],
  "species": ["Ti", "Tc", "Fe", "Fe"],
  "frac_coords": [[0.5000, 0.5000, 0.0000], [0.5000, 0.5000, 0.5000], [0.0000, 0.0000, 0.7643], [0.0000, 0.0000, 0.2357]]
}

Most stable: *Q*

*P*
{
  "formula": "Ti4FeTc",
  "functional": "PBE",
  "state": "optimized geometry",
  "crystal_system": "tetragonal",
  "volume_a3_per_atom": 15.0,
  "space_group": "P4/mmm (123)",
  "lattice_angstrom": [[3.0731, -0.0006, 0.0001], [0.0006, 3.0731, 0.0001], [-0.0006, -0.0006, 9.5465]],
  "species": ["Ti", "Ti", "Ti", "Ti", "Fe", "Tc"],
  "frac_coords": [[0.4999, 0.4999, 0.8432], [0.5001, 0.5001, 0.1568], [0.9999, 0.9999, 0.6488], [0.0001, 0.0001, 0.3512], [0.5000, 0.5000, 0.5000], [0.0000, 0.0000, 0.0000]]
}

*Q*
{
  "formula": "Ti4FeTc",
  "functional": "PBE",
  "state": "optimized geometry",
  "crystal_system": "trigonal",
  "volume_a3_per_atom": 17.3,
  "space_group": "R-3m (166)",
  "lattice_angstrom": [[4.4238, 0.0000, 0.0000], [2.2119, 3.8238, 0.2191], [2.2119, 0.9261, 6.1752]],
  "species": ["Ti", "Ti", "Ti", "Ti", "Fe", "Tc"],
  "frac_coords": [[0.6305, 0.6304, 0.1087], [0.3695, 0.3696, 0.8913], [0.1200, 0.1201, 0.6400], [0.8800, 0.8799, 0.3600], [0.0000, 0.0000, 0.0000], [0.5000, 0.5000, 0.5000]]
}

Most stable: *P*

*P*
{
  "formula": "TmFeTc",
  "functional": "PBE",
  "state": "optimized geometry",
  "crystal_system": "orthorhombic",
  "volume_a3_per_atom": 17.0,
  "space_group": "Imma (74)",
  "lattice_angstrom": [[4.5749, 0.0000, 2.5687], [1.5407, 4.3199, 2.6143], [0.0475, 0.2369, 5.2736]],
  "species": ["Tm", "Tm", "Fe", "Fe", "Tc", "Tc"],
  "frac_coords": [[0.8735, 0.3765, 0.3765], [0.1265, 0.6235, 0.6235], [0.0000, 0.0000, 0.0000], [0.5000, 0.0000, 0.0000], [0.5000, 0.5000, 0.0000], [0.5000, 0.0000, 0.5000]]
}

*Q*
{
  "formula": "TmFeTc",
  "functional": "PBE",
  "state": "optimized geometry",
  "crystal_system": "tetragonal",
  "volume_a3_per_atom": 19.9,
  "space_group": "P4_12_12 (92)",
  "lattice_angstrom": [[6.4570, 0.0000, 0.0000], [0.0000, 6.4570, 0.0000], [0.0000, 0.0000, 5.7143]],
  "species": ["Fe", "Fe", "Fe", "Fe", "Tc", "Tc", "Tc", "Tc", "Tm", "Tm", "Tm", "Tm"],
  "frac_coords": [[0.4405, 0.4405, 0.0000], [0.5595, 0.5595, 0.5000], [0.0595, 0.9405, 0.2500], [0.9405, 0.0595, 0.7500], [0.6874, 0.3126, 0.7500], [0.8126, 0.8126, 0.5000], [0.1874, 0.1874, 0.0000], [0.3126, 0.6874, 0.2500], [0.7576, 0.2424, 0.2500], [0.7424, 0.7424, 0.0000], [0.2576, 0.2576, 0.5000], [0.2424, 0.7576, 0.7500]]
}

Most stable: *P*

*P*
{
  "formula": "UFeTc",
  "functional": "PBE",
  "state": "optimized geometry",
  "crystal_system": "orthorhombic",
  "volume_a3_per_atom": 16.0,
  "space_group": "Cmmm (65)",
  "lattice_angstrom": [[-0.1466, 0.8282, -3.7358], [-3.3674, -1.8936, -0.2876], [-3.1072, 5.0407, 3.1982]],
  "species": ["U", "U", "Fe", "Fe", "Tc", "Tc"],
  "frac_coords": [[0.1421, 0.0000, 0.2845], [0.8579, 0.0000, 0.7155], [0.0000, 0.5000, 0.0000], [0.5000, 0.0000, 0.0000], [0.3429, 0.5000, 0.6854], [0.6571, 0.5000, 0.3146]]
}

*Q*
{
  "formula": "UFeTc",
  "functional": "PBE",
  "state": "optimized geometry",
  "crystal_system": "trigonal",
  "volume_a3_per_atom": 16.2,
  "space_group": "P3m1 (156)",
  "lattice_angstrom": [[-1.5893, -2.2594, -1.7930], [1.2341, -0.8052, 2.9451], [-4.4519, 1.3567, 2.2365]],
  "species": ["U", "Tc", "Fe"],
  "frac_coords": [[0.6667, 0.3333, 0.3586], [0.0000, 0.0000, 0.0002], [0.3333, 0.6667, 0.6411]]
}

*R*
{
  "formula": "UFeTc",
  "functional": "PBE",
  "state": "optimized geometry",
  "crystal_system": "orthorhombic",
  "volume_a3_per_atom": 16.1,
  "space_group": "Imma (74)",
  "lattice_angstrom": [[-4.5907, -0.9644, -5.8618], [-3.2036, -1.7050, 2.7894], [-4.9328, 1.2441, -1.1494]],
  "species": ["U", "U", "Fe", "Fe", "Tc", "Tc"],
  "frac_coords": [[0.8809, 0.4333, 0.7774], [0.6547, 0.9333, 0.7774], [0.2678, 0.6833, 0.7774], [0.2678, 0.1834, 0.7774], [0.7678, 0.6833, 0.2774], [0.2678, 0.1833, 0.2774]]
}

Most stable: *R*

*P*
{
  "formula": "VFe3Tc",
  "functional": "PBE",
  "state": "optimized geometry",
  "crystal_system": "cubic",
  "volume_a3_per_atom": 16.7,
  "space_group": "Pm-3m (221)",
  "lattice_angstrom": [[-4.0266, 0.5055, 1.6265], [-0.0131, -4.1841, 1.2680], [1.7032, 1.1629, 3.8550]],
  "species": ["Fe", "Fe", "Fe", "Tc", "V"],
  "frac_coords": [[0.0000, 0.5000, 0.0000], [0.0000, 0.0000, 0.5000], [0.5000, 0.0000, 0.0000], [0.0000, 0.0000, 0.0000], [0.5000, 0.5000, 0.5000]]
}

*Q*
{
  "formula": "VFe3Tc",
  "functional": "PBE",
  "state": "optimized geometry",
  "crystal_system": "cubic",
  "volume_a3_per_atom": 14.4,
  "space_group": "Pm-3m (221)",
  "lattice_angstrom": [[4.1584, 0.0000, 0.0000], [0.0000, 4.1584, 0.0000], [0.0000, 0.0000, 4.1584]],
  "species": ["Fe", "Fe", "Fe", "Tc", "V"],
  "frac_coords": [[0.0000, 0.5000, 0.0000], [0.0000, 0.0000, 0.5000], [0.5000, 0.0000, 0.0000], [0.5000, 0.5000, 0.5000], [0.0000, 0.0000, 0.0000]]
}

Most stable: *Q*